DFT (PBE) results for YTm3C2S2 after structural relaxation.

Computed properties:
space-group type	P3m1
electronic total energy	-7.119	eV/atom

a b c (Å): 3.6596 3.6596 12.7318
angles (deg): 90.00 90.00 120.00
Closest atoms and distances in Å follow each position.
Sites, in units of the cell vectors:
S: 0.6667 0.3333 0.2534  3 Tm 2.80, 3 Y 2.85
C: 0.3333 0.6667 0.5008  6 Tm 2.48-2.49
C: 0.3333 0.6667 0.9970  3 Tm 2.48, 3 Y 2.51
Tm: 0.6667 0.3333 0.8945  3 C 2.48
Tm: 0.6667 0.3333 0.6033  3 C 2.48
S: 0.0000 0.0000 0.7492  6 Tm 2.81
Tm: 0.0000 0.0000 0.3980  3 C 2.49
Y: 0.0000 0.0000 0.1037  3 C 2.51